(1)
Entry from the Alexandria database: Ca4ErU3As8 after structural relaxation (PBE).

Output
**Magnetic moment**: 5.00 μB per cell
**Density**: 6.65 g cm⁻³
**Energy of formation from the pure elements**: -102.67 kJ per mole of atoms

```
Ca4ErU3As8
1.0
8.313 0.000 0.000
0.000 8.363 0.028
-4.156 -4.153 5.882
As U Ca Er
8 3 4 1
Direct
0.246 0.730 0.491 As
0.754 0.270 0.016 As
0.754 0.270 0.509 As
0.739 0.730 0.984 As
0.744 0.731 0.487 As
0.256 0.269 0.513 As
0.246 0.730 0.984 As
0.261 0.270 0.016 As
0.000 0.500 0.500 U
0.500 0.500 0.500 U
0.500 0.500 0.000 U
0.500 0.000 0.500 Ca
0.000 0.000 0.500 Ca
0.000 0.000 0.000 Ca
0.500 0.000 0.000 Ca
0.000 0.500 0.000 Er
```

***

(2)
Entry from the Alexandria database: Ca3ErU3As8 after structural relaxation (PBE).

Output
**Magnetic moment**: 3.01 μB per cell
**Density**: 6.62 g cm⁻³
**Energy of formation from the pure elements**: -84.46 kJ per mole of atoms

```
Ca3ErU3As8
1.0
-4.848 -0.461 6.652
-3.329 -0.071 -7.540
4.293 -6.606 2.671
U As Ca Er
3 8 3 1
Direct
0.500 0.500 0.500 U
0.000 0.500 0.500 U
0.500 0.000 0.500 U
0.744 0.488 0.732 As
0.752 0.504 0.274 As
0.730 0.978 0.726 As
0.270 0.022 0.274 As
0.752 0.022 0.274 As
0.256 0.512 0.268 As
0.248 0.496 0.726 As
0.248 0.978 0.726 As
0.500 0.500 0.000 Ca
0.000 0.000 0.000 Ca
0.000 0.500 0.000 Ca
0.000 0.000 0.500 Er
```

***

(3)
Entry from the Alexandria database: CaEr2UAs4 after structural relaxation (PBE).

Output
**Magnetic moment**: 1.89 μB per cell
**Density**: 7.69 g cm⁻³
**Energy of formation from the pure elements**: -118.30 kJ per mole of atoms

```
CaEr2UAs4
1.0
-0.653 0.426 4.034
-0.909 -7.038 0.596
6.886 1.532 0.952
Ca As Er U
1 4 2 1
Direct
0.500 0.500 0.000 Ca
0.500 0.245 0.251 As
0.000 0.238 0.748 As
0.500 0.755 0.749 As
0.000 0.762 0.252 As
0.000 0.500 0.500 Er
0.500 0.000 0.500 Er
0.000 0.000 0.000 U
```

***

(4)
Entry from the Alexandria database: CaYEr2As4 after structural relaxation (PBE).

Output
**Magnetic moment**: 0.00 μB per cell
**Density**: 6.35 g cm⁻³
**Energy of formation from the pure elements**: -132.17 kJ per mole of atoms

```
CaYEr2As4
1.0
-3.541 1.807 -1.056
1.182 -1.698 -6.868
-2.865 -6.418 -1.372
As Ca Er Y
4 1 2 1
Direct
0.500 0.756 0.251 As
0.000 0.241 0.257 As
0.000 0.759 0.743 As
0.500 0.244 0.749 As
0.500 0.500 0.000 Ca
0.000 0.000 0.000 Er
0.500 0.000 0.500 Er
0.000 0.500 0.500 Y
```

***

(5)
Entry from the Alexandria database: CaY2ErAs4 after structural relaxation (PBE).

Output
**Magnetic moment**: 0.00 μB per cell
**Density**: 5.66 g cm⁻³
**Energy of formation from the pure elements**: -132.75 kJ per mole of atoms

```
CaY2ErAs4
1.0
4.127 0.000 0.000
0.000 7.176 -0.150
0.000 2.516 6.734
Y As Er Ca
2 4 1 1
Direct
0.500 0.000 0.500 Y
0.000 0.000 0.000 Y
0.000 0.755 0.743 As
0.500 0.250 0.745 As
0.500 0.750 0.255 As
0.000 0.245 0.257 As
0.000 0.500 0.500 Er
0.500 0.500 0.000 Ca
```

***

(6)
Entry from the Alexandria database: CaEr2ZrAs4 after structural relaxation (PBE).

Output
**Magnetic moment**: 0.00 μB per cell
**Density**: 6.76 g cm⁻³
**Energy of formation from the pure elements**: -126.58 kJ per mole of atoms

```
CaEr2ZrAs4
1.0
4.043 0.000 0.000
0.000 7.054 0.163
0.000 -2.427 6.539
As Zr Ca Er
4 1 1 2
Direct
0.000 0.239 0.751 As
0.500 0.239 0.243 As
0.000 0.761 0.249 As
0.500 0.761 0.757 As
0.000 0.000 0.000 Zr
0.500 0.500 0.000 Ca
0.000 0.500 0.500 Er
0.500 0.000 0.500 Er
```

***

(7)
Entry from the Alexandria database: Ca3Er2ZrAs6 after structural relaxation (PBE).

Output
**Magnetic moment**: 0.00 μB per cell
**Density**: 5.56 g cm⁻³
**Energy of formation from the pure elements**: -115.60 kJ per mole of atoms

```
Ca3Er2ZrAs6
1.0
7.067 0.001 0.002
-3.531 6.121 0.002
-1.178 -2.040 6.875
As Ca Er Zr
6 3 2 1
Direct
0.755 0.755 0.232 As
0.923 0.600 0.769 As
0.077 0.400 0.231 As
0.400 0.077 0.231 As
0.600 0.923 0.769 As
0.245 0.245 0.768 As
0.500 0.500 0.500 Ca
0.169 0.831 0.500 Ca
0.831 0.169 0.500 Ca
0.666 0.334 0.000 Er
0.334 0.666 0.000 Er
0.000 0.000 0.000 Zr
```

***

(8)
Entry from the Alexandria database: Ca2EuAs after structural relaxation (PBE).

Output
**Magnetic moment**: 7.96 μB per cell
**Density**: 3.21 g cm⁻³
**Energy of formation from the pure elements**: -56.33 kJ per mole of atoms

```
Ca2EuAs
1.0
-0.536 -3.342 -2.630
2.149 -3.643 0.698
-6.938 -5.640 5.088
Eu Ca As
1 2 1
Direct
0.500 0.500 0.500 Eu
0.283 0.283 0.150 Ca
0.717 0.717 0.850 Ca
0.000 0.000 0.000 As
```